Density functional theory data (GGA-PBEsol) for Ho5Ir3 after structural relaxation.

## Properties
final energy = -242.57 eV per cell
formation enthalpy at 0 K = -77.4 kJ/mol of atoms
size of the total moment = 0.000 μB per formula unit

```
Ho5Ir3
1.0
-1.6526 -5.0098 -3.3074
10.0252 -0.9538 -3.5646
2.3615 -6.2714 8.3195
Ho Ir
20 12
direct
0.6233 0.9124 0.2911 Ho
0.8767 0.2911 0.9124 Ho
0.6233 0.7911 0.5876 Ho
0.5000 0.5000 0.5000 Ho
0.6233 0.0876 0.7089 Ho
0.8767 0.5876 0.7911 Ho
0.1233 0.2089 0.5876 Ho
0.3767 0.7089 0.9124 Ho
0.8767 0.7089 0.0876 Ho
0.3767 0.4124 0.7911 Ho
0.6233 0.2089 0.4124 Ho
0.0000 0.0000 0.0000 Ho
0.3767 0.5876 0.2089 Ho
0.8767 0.4124 0.2089 Ho
0.1233 0.0876 0.2911 Ho
0.1233 0.9124 0.7089 Ho
0.3767 0.2911 0.0876 Ho
0.1233 0.7911 0.4124 Ho
0.0000 0.5000 0.5000 Ho
0.5000 0.0000 0.0000 Ho
0.2500 0.1540 0.8460 Ir
0.7500 0.1540 0.1540 Ir
0.3763 0.0000 0.5000 Ir
0.2500 0.6540 0.6540 Ir
0.7500 0.3460 0.6540 Ir
0.7500 0.6540 0.3460 Ir
0.7500 0.8460 0.8460 Ir
0.2500 0.3460 0.3460 Ir
0.2500 0.8460 0.1540 Ir
0.8763 0.0000 0.5000 Ir
0.1237 0.5000 0.0000 Ir
0.6237 0.5000 0.0000 Ir
```

---

Density functional theory data (GGA-PBEsol) for Ho2IrPd after structural relaxation.

## Properties
final energy = -29.33 eV per cell
formation enthalpy at 0 K = -88.0 kJ/mol of atoms
size of the total moment = 0.000 μB per formula unit

```
Ho2IrPd
1.0
-4.1165 -1.3179 -2.0738
-0.0984 -3.7850 -2.9406
-2.1865 -4.0414 1.3673
Ho Ir Pd
2 1 1
direct
0.2500 0.2500 0.2500 Ho
0.7500 0.7500 0.7500 Ho
0.5000 0.5000 0.5000 Ir
0.0000 0.0000 0.0000 Pd
```

---

Density functional theory data (GGA-PBEsol) for PmHoIr2 after structural relaxation.

## Properties
final energy = -32.40 eV per cell
formation enthalpy at 0 K = -64.4 kJ/mol of atoms
size of the total moment = 0.000 μB per formula unit

```
PmHoIr2
1.0
4.8322 0.0000 0.0000
2.4161 4.1848 0.0000
2.4161 1.3949 3.9455
Ir Pm Ho
2 1 1
direct
0.2500 0.2500 0.2500 Ir
0.7500 0.7500 0.7500 Ir
0.0000 0.0000 0.0000 Pm
0.5000 0.5000 0.5000 Ho
```

---

Density functional theory data (GGA-PBEsol) for Ho2IrRu after structural relaxation.

## Properties
final energy = -32.29 eV per cell
formation enthalpy at 0 K = -57.8 kJ/mol of atoms
size of the total moment = 0.000 μB per formula unit

```
Ho2IrRu
1.0
4.7227 0.0000 0.0000
2.3614 4.0900 0.0000
2.3614 1.3633 3.8561
Ho Ru Ir
2 1 1
direct
0.2500 0.2500 0.2500 Ho
0.7500 0.7500 0.7500 Ho
0.0000 0.0000 0.0000 Ru
0.5000 0.5000 0.5000 Ir
```

---

Density functional theory data (GGA-PBEsol) for Ho3Si13Ir4 after structural relaxation.

## Properties
final energy = -284.97 eV per cell
size of the total moment = 0.000 μB per formula unit
formation energy (no corrections) = -682 meV per atom

```
Ho3Si13Ir4
1.0
8.6664 0.0000 0.0000
0.0000 8.6664 0.0000
0.0000 0.0000 8.6664
Ir Ho Si
8 6 26
direct
0.2500 0.7500 0.7500 Ir
0.2500 0.2500 0.2500 Ir
0.2500 0.2500 0.7500 Ir
0.7500 0.7500 0.7500 Ir
0.7500 0.7500 0.2500 Ir
0.7500 0.2500 0.7500 Ir
0.2500 0.7500 0.2500 Ir
0.7500 0.2500 0.2500 Ir
0.0000 0.5000 0.2500 Ho
0.0000 0.5000 0.7500 Ho
0.5000 0.2500 0.0000 Ho
0.5000 0.7500 0.0000 Ho
0.2500 0.0000 0.5000 Ho
0.7500 0.0000 0.5000 Ho
0.2929 0.0000 0.8622 Si
0.0000 0.1378 0.7071 Si
0.7929 0.6378 0.5000 Si
0.5000 0.2071 0.3622 Si
0.2071 0.3622 0.5000 Si
0.0000 0.8622 0.7071 Si
0.7071 0.0000 0.8622 Si
0.1378 0.7071 0.0000 Si
0.7071 0.0000 0.1378 Si
0.7929 0.3622 0.5000 Si
0.8622 0.2929 0.0000 Si
0.5000 0.2071 0.6378 Si
0.2071 0.6378 0.5000 Si
0.5000 0.7929 0.3622 Si
0.0000 0.1378 0.2929 Si
0.5000 0.5000 0.5000 Si
0.8622 0.7071 0.0000 Si
0.5000 0.7929 0.6378 Si
0.2929 0.0000 0.1378 Si
0.6378 0.5000 0.2071 Si
0.0000 0.0000 0.0000 Si
0.3622 0.5000 0.2071 Si
0.3622 0.5000 0.7929 Si
0.0000 0.8622 0.2929 Si
0.6378 0.5000 0.7929 Si
0.1378 0.2929 0.0000 Si
```

---

Density functional theory data (GGA-PBEsol) for HoSiIr after structural relaxation.

## Properties
final energy = -95.53 eV per cell
size of the total moment = 0.000 μB per formula unit
formation energy (no corrections) = -1121 meV per atom

```
HoSiIr
1.0
4.1845 0.0000 0.0000
0.0000 6.7625 0.0000
0.0000 0.0000 7.3249
Si Ho Ir
4 4 4
direct
0.2500 0.7973 0.1109 Si
0.7500 0.7027 0.6109 Si
0.7500 0.2027 0.8891 Si
0.2500 0.2973 0.3891 Si
0.2500 0.5007 0.8136 Ho
0.7500 0.4993 0.1864 Ho
0.7500 0.9993 0.3136 Ho
0.2500 0.0007 0.6864 Ho
0.7500 0.8430 0.9326 Ir
0.2500 0.6570 0.4326 Ir
0.2500 0.1570 0.0674 Ir
0.7500 0.3430 0.5674 Ir
```

---

Density functional theory data (GGA-PBEsol) for SmHoIr2 after structural relaxation.

## Properties
final energy = -32.47 eV per cell
formation enthalpy at 0 K = -67.1 kJ/mol of atoms
size of the total moment = 0.000 μB per formula unit

```
SmHoIr2
1.0
-2.6037 3.8479 -1.2760
-3.1441 -0.3171 -3.6370
-4.7336 0.1089 0.8913
Ir Sm Ho
2 1 1
direct
0.2500 0.2500 0.2500 Ir
0.7500 0.7500 0.7500 Ir
0.5000 0.5000 0.5000 Sm
0.0000 0.0000 0.0000 Ho
```

---

Density functional theory data (GGA-PBEsol) for HoSnIr after structural relaxation.

## Properties
final energy = -64.94 eV per cell
formation enthalpy at 0 K = -84.0 kJ/mol of atoms
size of the total moment = 0.000 μB per formula unit

```
HoSnIr
1.0
3.7822 0.0000 0.0000
0.0000 7.4540 0.0000
0.0000 -3.7270 6.4554
Ho Sn Ir
3 3 3
direct
0.5000 0.4048 0.4048 Ho
0.5000 0.5952 0.0000 Ho
0.5000 0.0000 0.5952 Ho
0.0000 0.2634 0.0000 Sn
0.0000 0.7366 0.7366 Sn
0.0000 0.0000 0.2634 Sn
0.0000 0.6667 0.3333 Ir
0.5000 0.0000 0.0000 Ir
0.0000 0.3333 0.6667 Ir
```